(1)
Compound: MgTlTc2
Source: Alexandria via LeMat-Bulk
Functional: PBE-GGA
Structure: optimized geometry

Cell lengths 2.960, 2.960, 8.165 Å; angles 90.00, 90.00, 90.00 degrees
Site moments in Bohr magnetons follow the coordinates.
Positions (direct):
Mg (0.500, 0.500, 0.750)  -0.02
Tl (0.500, 0.500, 0.250)  0.01
Tc (0.000, 0.000, 0.989)  1.58
Tc (0.000, 0.000, 0.511)  1.58

Properties
The value obtained for the density is 9.86 Mg/m³. For the offset from the most stable computed form, the calculation gives 0.559 eV/atom. As for the density of states at the Fermi level: 3.20 states/eV/f.u. The energy relative to the elements comes out at 725 meV per atom. The uncorrected energy is -5.45 eV per atom.

(2)
Compound: LaCo2Tc
Source: Alexandria via LeMat-Bulk
Functional: PBE-GGA
Structure: optimized geometry

Cell lengths 5.538, 5.538, 5.538 Å; angles 149.73, 130.19, 59.41 degrees
Site moments in Bohr magnetons follow the coordinates.
Positions (direct):
Tc (0.219, 0.719, 0.500)  0.30
Co (0.991, 0.991, 0.000)  0.94
Co (0.783, 0.283, 0.500)  1.40
La (0.506, 0.506, 0.000)  -0.09

Properties
The value obtained for the density is 9.08 Mg/m³. For the offset from the most stable computed form, the calculation gives 0.424 eV/atom. As for the density of states at the Fermi level: 6.34 states/eV/f.u. The energy relative to the elements comes out at 450 meV per atom. The uncorrected energy is -6.93 eV per atom.

(3)
Compound: KRb4As2
Source: Alexandria via LeMat-Bulk
Functional: PBE-GGA
Structure: optimized geometry

Cell lengths 6.076, 6.076, 11.840 Å; angles 75.13, 75.13, 60.00 degrees
Site moments in Bohr magnetons follow the coordinates.
Positions (direct):
Rb (0.201, 0.201, 0.396)  -0.01
Rb (0.588, 0.588, 0.235)  -0.01
Rb (0.412, 0.412, 0.765)  -0.01
Rb (0.799, 0.799, 0.604)  -0.01
As (0.904, 0.904, 0.288)  -0.21
As (0.096, 0.096, 0.712)  -0.21
K (0.000, 0.000, 0.000)  -0.01

Properties
The value obtained for the density is 2.44 Mg/m³. As for the density of states at the Fermi level: 9.52 states/eV/f.u. The energy relative to the elements comes out at -214 meV per atom. The uncorrected energy is -2.25 eV per atom.

(4)
Compound: YCuAg3
Source: Alexandria via LeMat-Bulk
Functional: PBE-GGA
Structure: optimized geometry

Cell lengths 5.491, 5.491, 5.491 Å; angles 90.00, 90.00, 90.00 degrees
Positions (direct):
Y (0.000, 0.000, 0.000)
Ag (0.500, 0.000, 0.000)
Ag (0.000, 0.500, 0.000)
Ag (0.000, 0.000, 0.500)
Cu (0.500, 0.500, 0.500)

Properties
The value obtained for the density is 4.78 Mg/m³. For the offset from the most stable computed form, the calculation gives 1.042 eV/atom. As for the density of states at the Fermi level: 2.71 states/eV/f.u. The energy relative to the elements comes out at 1250 meV per atom. The uncorrected energy is -2.57 eV per atom.

Among the records above, which one has the lowest density?
KRb4As2

Look up the uncorrected energy of the third one.
-2.25 eV per atom

Which of these has the highest uncorrected energy?
KRb4As2

Among the records above, which one has the lowest density?
KRb4As2